(1)
Entry from Alexandria via LeMat-Bulk: TlTc2As after structural relaxation (PBE).

The structure in CIF format:
```
data_TlTc2As
_chemical_formula_sum 'Tl2 Tc4 As2'
_cell_length_a 3.076
_cell_length_b 5.223
_cell_length_c 8.691
_cell_angle_alpha 90.00
_cell_angle_beta 90.00
_cell_angle_gamma 90.00
_symmetry_space_group_name_H-M 'I m m m'
_symmetry_Int_Tables_number 71
_symmetry_space_group_name_Hall '-I 2 2'
loop_
_atom_site_label
_atom_site_type_symbol
_atom_site_fract_x
_atom_site_fract_y
_atom_site_fract_z
_atom_site_occupancy
Tl1 Tl 0.000 0.000 0.000 1
Tc1 Tc 0.000 0.500 0.219 1
As1 As 0.000 0.000 0.500 1
```

(2)
Entry from Alexandria via LeMat-Bulk: TlTc2As after structural relaxation (PBE).

The structure in CIF format:
```
data_TlTc2As
_chemical_formula_sum 'Tl1 Tc2 As1'
_cell_length_a 3.075
_cell_length_b 3.842
_cell_length_c 6.006
_cell_angle_alpha 90.00
_cell_angle_beta 102.88
_cell_angle_gamma 90.00
_symmetry_space_group_name_H-M 'P 1 2/m 1'
_symmetry_Int_Tables_number 10
loop_
_symmetry_equiv_pos_as_xyz
'x,y,z'
'-x,-y,-z'
'-x,y,-z'
'x,-y,z'
loop_
_atom_site_label
_atom_site_type_symbol
_atom_site_fract_x
_atom_site_fract_y
_atom_site_fract_z
_atom_site_occupancy
Tl1 Tl 0.000 0.000 0.000 1
Tc1 Tc 0.355 0.500 0.710 1
As1 As 0.000 0.000 0.500 1
```

Stability verdict: (2), ahead by 0.081 eV/atom

(1)
Entry from Alexandria via LeMat-Bulk: La2RuBr after structural relaxation (PBE).

The structure in CIF format:
```
data_La2RuBr
_chemical_formula_sum 'La8 Ru4 Br4'
_cell_length_a 7.366
_cell_length_b 7.366
_cell_length_c 7.366
_cell_angle_alpha 90.00
_cell_angle_beta 90.00
_cell_angle_gamma 90.00
_symmetry_space_group_name_H-M 'F m -3 m'
_symmetry_Int_Tables_number 225
_symmetry_space_group_name_Hall '-F 4 2 3'
loop_
_atom_site_label
_atom_site_type_symbol
_atom_site_fract_x
_atom_site_fract_y
_atom_site_fract_z
_atom_site_occupancy
La1 La 0.250 0.250 0.250 1
Ru1 Ru 0.000 0.000 0.000 1
Br1 Br 0.000 0.000 0.500 1
```

(2)
Entry from Alexandria via LeMat-Bulk: La2RuBr after structural relaxation (PBE).

The structure in CIF format:
```
data_La2RuBr
_chemical_formula_sum 'La4 Ru2 Br2'
_cell_length_a 3.650
_cell_length_b 3.818
_cell_length_c 16.310
_cell_angle_alpha 90.00
_cell_angle_beta 90.00
_cell_angle_gamma 90.00
_symmetry_space_group_name_H-M 'I m m 2'
_symmetry_Int_Tables_number 44
loop_
_symmetry_equiv_pos_as_xyz
'x,y,z'
'-x,-y,z'
'-x,y,z'
'x,-y,z'
'x+1/2,y+1/2,z+1/2'
'-x+1/2,-y+1/2,z+1/2'
'-x+1/2,y+1/2,z+1/2'
'x+1/2,-y+1/2,z+1/2'
loop_
_atom_site_label
_atom_site_type_symbol
_atom_site_fract_x
_atom_site_fract_y
_atom_site_fract_z
_atom_site_occupancy
La1 La 0.000 0.000 0.000 1
La2 La 0.000 0.500 0.292 1
Ru1 Ru 0.000 0.500 0.883 1
Br1 Br 0.000 0.000 0.628 1
```

Stability verdict: (2), ahead by 0.231 eV/atom

(1)
Entry from Alexandria via LeMat-Bulk: CuRhCl2 after structural relaxation (PBE).

The structure in CIF format:
```
data_CuRhCl2
_chemical_formula_sum 'Cu2 Rh2 Cl4'
_cell_length_a 3.550
_cell_length_b 4.861
_cell_length_c 8.366
_cell_angle_alpha 90.00
_cell_angle_beta 90.00
_cell_angle_gamma 90.00
_symmetry_space_group_name_H-M 'A m m 2'
_symmetry_Int_Tables_number 38
loop_
_symmetry_equiv_pos_as_xyz
'x,y,z'
'-x,-y,z'
'-x,y,z'
'x,-y,z'
'x,y+1/2,z+1/2'
'-x,-y+1/2,z+1/2'
'-x,y+1/2,z+1/2'
'x,-y+1/2,z+1/2'
loop_
_atom_site_label
_atom_site_type_symbol
_atom_site_fract_x
_atom_site_fract_y
_atom_site_fract_z
_atom_site_occupancy
Cu1 Cu 0.000 0.000 0.000 1
Rh1 Rh 0.500 0.000 0.224 1
Cl1 Cl 0.000 0.000 0.413 1
Cl2 Cl 0.500 0.000 0.770 1
```

(2)
Entry from Alexandria via LeMat-Bulk: CuRhCl2 after structural relaxation (PBE).

The structure in CIF format:
```
data_CuRhCl2
_chemical_formula_sum 'Cu4 Rh4 Cl8'
_cell_length_a 6.405
_cell_length_b 6.405
_cell_length_c 6.405
_cell_angle_alpha 90.00
_cell_angle_beta 90.00
_cell_angle_gamma 90.00
_symmetry_space_group_name_H-M 'F m -3 m'
_symmetry_Int_Tables_number 225
_symmetry_space_group_name_Hall '-F 4 2 3'
loop_
_atom_site_label
_atom_site_type_symbol
_atom_site_fract_x
_atom_site_fract_y
_atom_site_fract_z
_atom_site_occupancy
Cu1 Cu 0.000 0.000 0.000 1
Rh1 Rh 0.000 0.000 0.500 1
Cl1 Cl 0.250 0.250 0.250 1
```

Stability verdict: (1), ahead by 0.334 eV/atom